Li3Cr5Te12 | PBE-GGA | optimized geometry

Computed properties:
* formation energy without anion corrections: -0.13 eV per atom
* total moment: 10.12 μB/f.u.
* DFT total energy: -376.34 eV per cell
* DOS at the Fermi energy: 15.8 states/eV/f.u.

Cell and atoms, written as extended XYZ:
```
80
Lattice="14.334 0.000 0.000 -4.778 13.514 0.000 -4.778 -6.757 11.704" Properties=species:S:1:pos:R:3 pbc="T T T"
Te 3.475 5.560 4.614
Cr 5.973 -4.223 10.241
Cr 0.000 0.000 0.000
Cr 5.973 3.379 8.778
Te 1.303 1.197 7.090
Te -2.377 -5.506 11.331
Te 7.547 -1.018 2.508
Cr 2.389 3.379 5.852
Te 6.081 10.155 3.344
Te 1.695 -1.947 10.806
Cr 5.973 5.913 4.389
Cr 1.195 4.223 10.241
Te -3.692 11.352 1.270
Te 7.155 3.682 4.582
Te -0.694 8.508 1.238
Te 3.083 8.705 0.898
Te 2.401 9.187 4.954
Te -1.303 4.595 10.434
Cr -2.389 6.757 0.000
Li 8.362 9.291 1.463
Te 7.155 12.263 0.373
Te 4.790 2.430 6.750
Te 5.158 5.740 9.196
Te -4.398 6.059 6.225
Cr -1.195 0.845 7.315
Te 4.398 -1.715 3.717
Te -2.009 -0.698 5.479
Te -0.012 4.327 4.954
Cr 8.362 -0.845 7.315
Te 2.009 5.042 7.987
Cr 3.584 10.136 2.926
Cr -1.195 10.981 1.463
Cr 7.167 0.000 0.000
Te 2.377 -2.430 6.750
Li 5.973 0.845 4.389
Te 9.544 -3.076 7.122
Te -0.380 1.018 2.508
Te -1.086 7.954 4.614
Te -4.790 5.506 11.331
Li 8.362 4.223 1.463
Te -5.473 0.196 9.569
Cr -4.778 3.379 5.852
Te 8.470 -4.595 10.434
Li 10.751 0.000 2.926
Li 1.195 -0.845 4.389
Li 1.195 6.757 2.926
Li -5.973 6.757 8.778
Li 3.584 7.602 7.315
Te 5.473 -1.751 10.466
Te -5.864 3.397 8.360
Te 3.083 5.006 1.238
Te 9.176 0.698 5.479
Te 5.864 -1.197 7.090
Te -1.303 -3.397 8.360
Te 10.642 3.360 3.344
Te -2.377 3.076 7.122
Cr -3.584 7.602 4.389
Cr 3.584 2.534 1.463
Te 1.695 1.751 10.466
Cr -2.389 -3.379 5.852
Te 5.473 1.947 10.806
Te 9.568 1.252 0.373
Te -2.769 7.775 9.196
Te -1.695 -0.196 9.569
Te 2.769 1.715 3.717
Cr 4.778 6.757 0.000
Li -3.584 2.534 10.241
Te 6.787 7.455 6.225
Li -3.584 -2.534 10.241
Li -1.195 5.913 7.315
Te -4.766 9.833 4.582
Cr 1.195 -3.379 8.778
Te 0.380 8.473 7.987
Te 10.251 6.561 2.135
Te -0.694 4.810 0.898
Te 6.473 6.954 2.135
Cr 4.778 -3.379 5.852
Te 6.081 2.163 1.270
Li 3.584 0.000 8.778
Cr -1.195 3.379 2.926
```

***

LiCr2Te | PBE-GGA | optimized geometry

Computed properties:
* formation energy without anion corrections: 0.32 eV per atom
* total moment: 8.31 μB/f.u.
* DFT total energy: -23.03 eV per cell
* DOS at the Fermi energy: 3.2 states/eV/f.u.

Cell and atoms, written as extended XYZ:
```
4
Lattice="4.215 0.000 0.000 0.000 4.215 0.000 0.000 0.000 4.135" Properties=species:S:1:pos:R:3 pbc="T T T"
Cr 2.107 2.108 0.000
Te 0.000 2.108 2.067
Cr 0.000 0.000 0.000
Li 2.107 0.000 2.067
```